# Na5SI2Cl (PBE, relaxed)
data_Na5SI2Cl
_chemical_formula_sum 'Na10 S2 I4 Cl2'
_space_group_name_H-M_alt 'I m m m'
_space_group_IT_number 71
_space_group_name_Hall '-I 2 2'
_cell_length_a 5.0956
_cell_length_b 7.4383
_cell_length_c 15.4969
_cell_angle_alpha 90.00
_cell_angle_beta 90.00
_cell_angle_gamma 90.00
loop_
_atom_site_label
_atom_site_fract_x
_atom_site_fract_y
_atom_site_fract_z
Na1 0.0000 0.0000 0.0000
Na2 0.0000 0.2513 0.3767
S1 0.0000 0.5000 0.5000
I1 0.0000 0.0000 0.2188
Cl1 0.0000 0.5000 0.0000
# Fermi-level density of states   0.000 states/eV per atom
# Raw total energy   -2.926 eV/atom
# Formation energy from raw total energies   -1.19 eV/atom